Record 1
Computed, not measured: a relaxed structure of BeTcOs4 at the PBE level of DFT.

Geometry as POSCAR:
```
BeTcOs4
1.0
0.000 3.589 3.589
3.589 0.000 3.589
3.589 3.589 0.000
Be Tc Os
1 1 4
direct
0.000 0.000 0.000
0.750 0.750 0.750
0.876 0.375 0.375
0.375 0.375 0.876
0.375 0.876 0.375
0.375 0.375 0.375
```

Values from the calculation:
* energy of formation from the pure elements: 817 meV per atom
* DOS(E_F): 9.062 states/eV/f.u.

Record 2
Computed, not measured: a relaxed structure of SrAgC2 at the PBE level of DFT.

Geometry as POSCAR:
```
SrAgC2
1.0
0.000 3.125 3.125
3.125 0.000 3.125
3.125 3.125 0.000
Sr C Ag
1 2 1
direct
0.000 0.000 0.000
0.250 0.250 0.250
0.750 0.750 0.750
0.500 0.500 0.500
```

Values from the calculation:
* energy of formation from the pure elements: 1779 meV per atom
* DOS(E_F): 2.674 states/eV/f.u.

Record 3
Computed, not measured: a relaxed structure of NpGaHg at the PBE level of DFT.

Geometry as POSCAR:
```
NpGaHg
1.0
3.011 0.000 0.000
0.000 4.982 0.000
0.000 -2.491 4.315
Np Hg Ga
1 1 1
direct
0.667 0.333 0.667
0.167 0.667 0.333
0.167 0.000 0.000
```

Values from the calculation:
* energy of formation from the pure elements: 8 meV per atom
* DOS(E_F): 6.514 states/eV/f.u.

Record 4
Computed, not measured: a relaxed structure of NbFe8Re3 at the PBE level of DFT.

Geometry as POSCAR:
```
NbFe8Re3
1.0
-1.895 3.354 2.618
-0.968 -4.470 0.882
6.050 -0.356 4.836
Nb Fe Re
1 8 3
direct
0.000 0.000 0.568
0.333 0.667 0.500
0.333 0.667 0.000
0.503 0.007 0.753
0.503 0.497 0.753
0.993 0.497 0.753
0.163 0.327 0.249
0.163 0.837 0.249
0.673 0.837 0.249
0.667 0.333 0.421
0.667 0.333 0.064
0.000 0.000 0.941
```

Values from the calculation:
* energy of formation from the pure elements: -51 meV per atom
* DOS(E_F): 10.059 states/eV/f.u.

Record 5
Computed, not measured: a relaxed structure of BPdRuPb2 at the PBE level of DFT.

Geometry as POSCAR:
```
BPdRuPb2
1.0
5.266 0.000 0.000
0.000 5.266 0.000
0.000 0.000 3.866
Pb Ru B Pd
2 1 1 1
direct
0.000 0.500 0.000
0.500 0.000 0.000
0.500 0.500 0.500
0.000 0.000 0.500
0.000 0.000 0.000
```

Values from the calculation:
* energy of formation from the pure elements: 1129 meV per atom
* DOS(E_F): 5.152 states/eV/f.u.

Record 6
Computed, not measured: a relaxed structure of KRe2Ni at the PBE level of DFT.

Geometry as POSCAR:
```
KRe2Ni
1.0
2.713 0.009 0.000
-0.924 2.550 0.000
0.000 0.000 9.871
K Ni Re
1 1 2
direct
0.000 0.000 0.512
0.500 0.500 0.793
0.000 0.000 0.988
0.500 0.500 0.207
```

Values from the calculation:
* energy of formation from the pure elements: 749 meV per atom
* DOS(E_F): 3.372 states/eV/f.u.

Number 1: total DFT energy (no corrections) -9.019 eV/atom. Number 2: total DFT energy (no corrections) -3.966 eV/atom. Number 3: total DFT energy (no corrections) -5.415 eV/atom. Number 4: total DFT energy (no corrections) -9.644 eV/atom. Number 5: total DFT energy (no corrections) -4.584 eV/atom. Number 6: total DFT energy (no corrections) -7.194 eV/atom.